[1]
# NiTeRu3, optimized geometry, DFT PBE
data_NiTeRu3
_chemical_formula_sum 'Ni1 Te1 Ru3'
_cell_length_a 4.4871
_cell_length_b 4.4871
_cell_length_c 4.4871
_cell_angle_alpha 90.00
_cell_angle_beta 90.00
_cell_angle_gamma 90.00
_space_group_name_H-M_alt 'P m -3 m'
_space_group_IT_number 221
_space_group_name_Hall '-P 4 2 3'
loop_
_atom_site_label
_atom_site_type_symbol
_atom_site_fract_x
_atom_site_fract_y
_atom_site_fract_z
Ni1 Ni 0.0000 0.0000 0.0000
Te1 Te 0.5000 0.5000 0.5000
Ru1 Ru 0.0000 0.0000 0.5000
# DFT total energy ... -6.041 eV/atom
# DOS(E_F) ... 8.41 states/eV/cell

---

[2]
# NaIO2, optimized geometry, DFT PBE
data_NaIO2
_chemical_formula_sum 'Na4 I4 O8'
_cell_length_a 6.0768
_cell_length_b 6.0768
_cell_length_c 6.0768
_cell_angle_alpha 90.00
_cell_angle_beta 90.00
_cell_angle_gamma 90.00
_space_group_name_H-M_alt 'F m -3 m'
_space_group_IT_number 225
_space_group_name_Hall '-F 4 2 3'
loop_
_atom_site_label
_atom_site_type_symbol
_atom_site_fract_x
_atom_site_fract_y
_atom_site_fract_z
Na1 Na 0.0000 0.0000 0.0000
I1 I 0.0000 0.0000 0.5000
O1 O 0.2500 0.2500 0.2500
# DFT total energy ... -3.162 eV/atom
# DOS(E_F) ... 11.14 states/eV/cell